VASP calculation (PBE with a Hubbard U) on an optimized crystal structure of CsCoI2O.

Results
M_tot: 3.26 μB per formula unit
ρ: 3.64 g/cm³
offset from the most stable computed form: 1.391 eV per atom

Lattice parameters (Å, degrees): 6.915 6.915 4.401 90.00 90.00 90.00
Fractional coordinates of all 5 atoms:
Co1 0.500 0.500 0.500
Cs1 0.000 0.000 0.000
I1 0.000 0.500 0.000
I2 0.500 0.000 0.000
O1 0.000 0.000 0.500